Material: CrNiAuO2
Method: DFT, GGA+U
State: relaxed

Properties
size of the total moment	6.27	μB per formula unit
total energy	-4.30	eV/atom

a = 3.766 Å, b = 3.766 Å, c = 5.039 Å
α = 90.00°, β = 90.00°, γ = 90.00°
Sites, in units of the cell vectors:
Cr  0.000  0.000  0.000
Ni  0.000  0.000  0.500
Au  0.500  0.500  0.000
O  0.000  0.500  0.500
O  0.500  0.000  0.500